Record 1
Entry from the Alexandria database: a relaxed TbPr3Pa2N6 crystal (PBE).

The space group is C2/m (No. 12) and the conventional cell measures 6.181, 10.711 and 6.270 Å, with angles of 90.00, 109.17 and 90.00 degrees. The asymmetric unit holds Tb at (0.000, 0.000, 0.000), Pr at (0.000, 0.166, 0.500), Pr at (0.000, 0.500, 0.500), Pa at (0.000, 0.333, 0.000), N at (0.223, 0.500, 0.212) and N at (0.245, 0.174, 0.213).

The raw formation energy comes out at -1565 meV/atom.

Record 2
Entry from the Alexandria database: a relaxed FeTePt crystal (PBE).

The space group is P3m1 (No. 156) and the conventional cell measures 3.8760, 3.8760 and 4.5157 Å, with angles of 90.00, 90.00 and 120.00 degrees. The asymmetric unit holds Fe at (0.0000, 0.0000, 0.0000), Te at (0.3333, 0.6667, 0.6279) and Pt at (0.6667, 0.3333, 0.2458).

The value obtained for the energy above the most stable polymorph in this dataset is 63 meV/atom. The raw formation energy comes out at 170 meV/atom.

Record 3
Entry from the Alexandria database: a relaxed Be2NiAg crystal (PBE).

The space group is I-4m2 (No. 119) and the conventional cell measures 3.367, 3.367 and 7.918 Å, with angles of 90.00, 90.00 and 90.00 degrees. The asymmetric unit holds Be at (0.000, 0.000, 0.000), Be at (0.000, 0.500, 0.250), Ni at (0.000, 0.500, 0.750) and Ag at (0.000, 0.000, 0.500).

The value obtained for the energy above the most stable polymorph in this dataset is 203 meV/atom. The calculation puts the formation energy at 0.0677 eV/atom.

Record 4
Entry from the Alexandria database: a relaxed Li6RhF12 crystal (PBE).

The space group is R-3 (No. 148, hexagonal axes) and the conventional cell measures 9.0047, 9.0047 and 8.8591 Å, with angles of 90.00, 90.00 and 120.00 degrees. The asymmetric unit holds Li at (0.0012, 0.7769, 0.3869), Rh at (0.0000, 0.0000, 0.0000), F at (0.0011, 0.7893, 0.6153) and F at (0.0019, 0.1725, 0.8768).

The raw formation energy comes out at -2273 meV/atom.

Record 5
Entry from the Alexandria database: a relaxed Ce5Ga2Ir crystal (PBE).

The space group is Cmcm (No. 63) and the conventional cell measures 4.460, 10.142 and 16.033 Å, with angles of 90.00, 90.00 and 90.00 degrees. The asymmetric unit holds Ce at (0.000, 0.042, 0.250), Ce at (0.000, 0.173, 0.045), Ce at (0.000, 0.453, 0.090), Ga at (0.000, 0.245, 0.665) and Ir at (0.000, 0.325, 0.250).

The calculation puts the formation energy at -0.4226 eV/atom.

Record 6
Entry from the Alexandria database: a relaxed NaAgGe2 crystal (PBE).

The space group is R-3m (No. 166, hexagonal axes) and the conventional cell measures 4.4825, 4.4825 and 15.5427 Å, with angles of 90.00, 90.00 and 120.00 degrees. The asymmetric unit holds Na at (0.0000, 0.0000, 0.0000), Ag at (0.0000, 0.0000, 0.5000) and Ge at (0.0000, 0.0000, 0.2161).

The calculation puts the formation energy at 0.0537 eV/atom.

Record 7
Entry from the Alexandria database: a relaxed TlOsRu2 crystal (PBE).

The space group is Cmm2 (No. 35) and the conventional cell measures 2.854, 4.902 and 9.512 Å, with angles of 90.00, 90.00 and 90.00 degrees. The asymmetric unit holds Tl at (0.000, 0.000, 0.000), Os at (0.000, 0.500, 0.275), Ru at (0.000, 0.000, 0.504) and Ru at (0.000, 0.500, 0.735).

The value obtained for the energy above the most stable polymorph in this dataset is 490 meV/atom. The calculation puts the formation energy at 0.8987 eV/atom.